[1]
Here is an optimized crystal structure of CuSnPdW from OQMD via LeMat-Bulk. Energies are from PBE.

Energy relative to the lowest polymorph listed for this composition: 0 meV per atom
M_tot: 0.357 μB/atom

```
CuSnPdW
1.0
0.000 3.213 3.213
3.213 0.000 3.213
3.213 3.213 0.000
Cu W Pd Sn
1 1 1 1
direct
0.750 0.750 0.750
0.250 0.250 0.250
0.500 0.500 0.500
0.000 0.000 0.000
```

[2]
Here is an optimized crystal structure of Sr2CuPd from OQMD via LeMat-Bulk. Energies are from PBE.

Energy: -3.05 eV/atom

```
Sr2CuPd
1.0
2.567 1.482 4.192
-2.567 1.482 4.192
0.000 -2.964 4.192
Cu Sr Pd
1 2 1
direct
0.500 0.500 0.500
0.000 0.000 0.000
0.750 0.750 0.750
0.250 0.250 0.250
```